Record 1
# Ti2BeTl2

Crystalline Ti2BeTl2 at its relaxed geometry (PBE, Alexandria via LeMat-Bulk).

Summary:
excess energy over the best structure of this formula in the dataset = 0 meV/atom
space-group type = No. 127
formation energy from the elements = 331.9 meV per atom

Unit cell a=6.5455 b=6.5455 c=4.5633 alpha=90.00 beta=90.00 gamma=90.00
Closest atoms and distances in Å follow each position.
Atoms (fractional coordinates):
Ti1 0.1502 0.3498 0.0000  2 Be 2.49, 1 Ti 2.78
Ti2 0.3498 0.8498 0.0000  2 Be 2.49, 1 Ti 2.78
Ti3 0.6502 0.1502 0.0000  2 Be 2.49, 1 Ti 2.78
Ti4 0.8498 0.6502 0.0000  2 Be 2.49, 1 Ti 2.78
Be1 0.0000 0.0000 0.0000  4 Ti 2.49
Be2 0.5000 0.5000 0.0000  4 Ti 2.49
Tl1 0.1674 0.6674 0.5000  6 Ti 2.84-3.09, 1 Tl 3.10
Tl2 0.3326 0.1674 0.5000  6 Ti 2.84-3.09, 1 Tl 3.10
Tl3 0.6674 0.8326 0.5000  6 Ti 2.84-3.09, 1 Tl 3.10
Tl4 0.8326 0.3326 0.5000  6 Ti 2.84-3.09, 1 Tl 3.10

---

Record 2
# La4MgSi

Crystalline La4MgSi at its relaxed geometry (PBE, Alexandria via LeMat-Bulk).

Summary:
ΔE_f (raw) = 0.3584 eV/atom
space-group type = No. 216

Unit cell a=6.4441 b=6.4441 c=6.4441 alpha=60.00 beta=60.00 gamma=60.00
Closest atoms and distances in Å follow each position.
Atoms (fractional coordinates):
La1 0.3773 0.3773 0.3773  6 La 3.16-3.28
La2 0.3773 0.3773 0.8681  6 La 3.16-3.28
La3 0.3773 0.8681 0.3773  6 La 3.16-3.28
La4 0.8681 0.3773 0.3773  6 La 3.16-3.28
Mg1 0.0000 0.0000 0.0000  12 La 3.78, 4 Si 3.95
Si1 0.7500 0.7500 0.7500  12 La 3.77, 4 Mg 3.95

---

Record 3
# VPt2SeN

Crystalline VPt2SeN at its relaxed geometry (PBE, Alexandria via LeMat-Bulk).

Summary:
ΔE_f (raw) = 0.6455 eV/atom
space-group type = No. 123

Unit cell a=4.9001 b=4.9001 c=3.5586 alpha=90.00 beta=90.00 gamma=90.00
Closest atoms and distances in Å follow each position.
Atoms (fractional coordinates):
V1 0.0000 0.0000 0.0000  2 N 1.78
Pt1 0.0000 0.5000 0.0000  2 V 2.45
Pt2 0.5000 0.0000 0.0000  2 V 2.45
Se1 0.5000 0.5000 0.5000  8 Pt 3.03
N1 0.0000 0.0000 0.5000  2 V 1.78

---

Record 4
# CdAg4Sn

Crystalline CdAg4Sn at its relaxed geometry (PBE, Alexandria via LeMat-Bulk).

Summary:
excess energy over the best structure of this formula in the dataset = 0 meV/atom
space-group type = No. 216
formation energy from the elements = 41.5 meV per atom

Unit cell a=5.5774 b=5.5774 c=5.5774 alpha=60.00 beta=60.00 gamma=60.00
Closest atoms and distances in Å follow each position.
Atoms (fractional coordinates):
Cd1 0.0000 0.0000 0.0000  12 Ag 3.27, 4 Sn 3.42
Ag1 0.1245 0.6252 0.6252  6 Ag 2.78-2.79
Ag2 0.6252 0.1245 0.6252  6 Ag 2.78-2.79
Ag3 0.6252 0.6252 0.1245  6 Ag 2.78-2.79
Ag4 0.6252 0.6252 0.6252  6 Ag 2.78-2.79
Sn1 0.2500 0.2500 0.2500  12 Ag 3.27, 4 Cd 3.42

---

Record 5
# Cs3Ag2Cl2F3

Crystalline Cs3Ag2Cl2F3 at its relaxed geometry (PBE, Alexandria via LeMat-Bulk).

Summary:
ΔE_f (raw) = -1.7116 eV/atom
space-group type = No. 139

Unit cell a=12.6982 b=12.6982 c=12.6982 alpha=157.63 beta=157.63 gamma=31.85
Closest atoms and distances in Å follow each position.
Atoms (fractional coordinates):
Cs1 0.0000 0.0000 0.0000  2 F 2.78
Cs2 0.3779 0.3779 0.0000  1 F 2.98
Cs3 0.6221 0.6221 0.0000  1 F 2.98
Ag1 0.2074 0.2074 0.0000  1 F 2.29
Ag2 0.7926 0.7926 0.0000  1 F 2.29
Cl1 0.2500 0.7500 0.5000  4 Ag 2.67
Cl2 0.7500 0.2500 0.5000  4 Ag 2.67
F1 0.1138 0.1138 0.0000  1 Ag 2.29
F2 0.5000 0.5000 0.0000  2 Cs 2.98
F3 0.8862 0.8862 0.0000  1 Ag 2.29

---

Record 6
# Ba2SeBr

Crystalline Ba2SeBr at its relaxed geometry (PBE, Alexandria via LeMat-Bulk).

Summary:
excess energy over the best structure of this formula in the dataset = 37 meV/atom
ΔE_f (raw) = -1.8044 eV/atom
space-group type = No. 160

Unit cell a=4.6233 b=4.6233 c=24.8675 alpha=90.00 beta=90.00 gamma=120.00
Closest atoms and distances in Å follow each position.
Atoms (fractional coordinates):
Ba1 0.0000 0.0000 0.0000  3 Se 3.20, 3 Br 3.50
Ba2 0.0000 0.0000 0.1868  3 Se 3.26, 3 Br 3.58
Ba3 0.3333 0.6667 0.6667  3 Se 3.20, 3 Br 3.50
Ba4 0.3333 0.6667 0.8535  3 Se 3.26, 3 Br 3.58
Ba5 0.6667 0.3333 0.3333  3 Se 3.20, 3 Br 3.50
Ba6 0.6667 0.3333 0.5201  3 Se 3.26, 3 Br 3.58
Se1 0.0000 0.0000 0.5955  6 Ba 3.20-3.26
Se2 0.3333 0.6667 0.2622  6 Ba 3.20-3.26
Se3 0.6667 0.3333 0.9289  6 Ba 3.20-3.26
Br1 0.0000 0.0000 0.4244  6 Ba 3.50-3.58
Br2 0.3333 0.6667 0.0910  6 Ba 3.50-3.58
Br3 0.6667 0.3333 0.7577  6 Ba 3.50-3.58